# La2PmHfP4

A relaxed structure of La2PmHfP4 (PBE-GGA, the Alexandria database).

The space group is P2/m (No. 10) and the conventional cell measures 7.050, 4.062 and 7.091 Å, with angles of 90.00, 109.10 and 90.00 degrees. Symmetry generates all atoms from La at (0.000, 0.000, 0.000), La at (0.500, 0.500, 0.000), Pm at (0.000, 0.500, 0.500), Hf at (0.500, 0.000, 0.500), P at (0.260, 0.000, 0.732) and P at (0.273, 0.500, 0.277).

The calculation puts the total magnetic moment at 0.00 μB per formula unit. The calculation puts the formation energy at -1474 meV per atom.